# 1
# Na2PuVO8 | Alexandria via LeMat-Bulk | PBE+U | relaxed
data_Na2PuVO8
_cell_length_a 6.4176
_cell_length_b 6.4176
_cell_length_c 5.5437
_cell_angle_alpha 90.00
_cell_angle_beta 90.00
_cell_angle_gamma 120.00
_symmetry_space_group_name_H-M 'P -3 m 1'
_symmetry_Int_Tables_number 164
_symmetry_space_group_name_Hall '-P 3 2"'
loop_
_atom_site_label
_atom_site_type_symbol
_atom_site_fract_x
_atom_site_fract_y
_atom_site_fract_z
_atom_site_occupancy
Na1 Na 0.3333 0.6667 0.2164 1
Pu1 Pu 0.0000 0.0000 0.5000 1
V1 V 0.0000 0.0000 0.0000 1
O1 O 0.1297 0.2594 0.2269 1
O2 O 0.3333 0.6667 0.6576 1
# * total magnetic moment: 5.2 μB per formula unit
# * E: -0.24086 hartree per atom



# 2
# NaPu2VO8 | Alexandria via LeMat-Bulk | PBE+U | relaxed
data_NaPu2VO8
_cell_length_a 6.719
_cell_length_b 6.931
_cell_length_c 6.781
_cell_angle_alpha 90.00
_cell_angle_beta 90.00
_cell_angle_gamma 90.00
_symmetry_space_group_name_H-M 'C m m m'
_symmetry_Int_Tables_number 65
_symmetry_space_group_name_Hall '-C 2 2'
loop_
_atom_site_label
_atom_site_type_symbol
_atom_site_fract_x
_atom_site_fract_y
_atom_site_fract_z
_atom_site_occupancy
Na1 Na 0.000 0.000 0.000 1
Pu1 Pu 0.000 0.500 0.254 1
V1 V 0.000 0.000 0.500 1
O1 O 0.000 0.293 0.500 1
O2 O 0.000 0.324 0.000 1
O3 O 0.200 0.000 0.290 1
# * total magnetic moment: 6.0 μB per formula unit
# * E: -0.32141 hartree per atom



# 3
# Na2PuVO6 | Alexandria via LeMat-Bulk | PBE+U | relaxed
data_Na2PuVO6
_cell_length_a 5.594
_cell_length_b 5.594
_cell_length_c 4.271
_cell_angle_alpha 90.00
_cell_angle_beta 90.00
_cell_angle_gamma 90.00
_symmetry_space_group_name_H-M 'P 4 m m'
_symmetry_Int_Tables_number 99
_symmetry_space_group_name_Hall 'P 4 -2'
loop_
_atom_site_label
_atom_site_type_symbol
_atom_site_fract_x
_atom_site_fract_y
_atom_site_fract_z
_atom_site_occupancy
Na1 Na 0.000 0.500 0.000 1
Pu1 Pu 0.000 0.000 0.580 1
V1 V 0.500 0.500 0.514 1
O1 O 0.000 0.000 0.083 1
O2 O 0.265 0.265 0.604 1
O3 O 0.500 0.500 0.122 1
# * total magnetic moment: 3.0 μB per formula unit
# * E: -0.27842 hartree per atom



# 4
# NaPuWO6 | Alexandria via LeMat-Bulk | PBE+U | relaxed
data_NaPuWO6
_cell_length_a 5.5469
_cell_length_b 5.5469
_cell_length_c 10.1346
_cell_angle_alpha 90.00
_cell_angle_beta 90.00
_cell_angle_gamma 120.00
_symmetry_space_group_name_H-M 'P -3 1 c'
_symmetry_Int_Tables_number 163
_symmetry_space_group_name_Hall '-P 3 2c'
loop_
_atom_site_label
_atom_site_type_symbol
_atom_site_fract_x
_atom_site_fract_y
_atom_site_fract_z
_atom_site_occupancy
Na1 Na 0.0000 0.0000 0.0000 1
Pu1 Pu 0.3333 0.6667 0.2500 1
W1 W 0.3333 0.6667 0.7500 1
O1 O 0.0242 0.3856 0.6444 1
# * total magnetic moment: 3.0 μB per formula unit
# * E: -0.29758 hartree per atom



# 5
# Na2PuWO6 | Alexandria via LeMat-Bulk | PBE+U | relaxed
data_Na2PuWO6
_cell_length_a 5.864
_cell_length_b 5.864
_cell_length_c 4.210
_cell_angle_alpha 90.00
_cell_angle_beta 90.00
_cell_angle_gamma 90.00
_symmetry_space_group_name_H-M 'P 4 m m'
_symmetry_Int_Tables_number 99
_symmetry_space_group_name_Hall 'P 4 -2'
loop_
_atom_site_label
_atom_site_type_symbol
_atom_site_fract_x
_atom_site_fract_y
_atom_site_fract_z
_atom_site_occupancy
Na1 Na 0.000 0.500 0.000 1
Pu1 Pu 0.000 0.000 0.607 1
W1 W 0.500 0.500 0.568 1
O1 O 0.000 0.000 0.108 1
O2 O 0.270 0.270 0.639 1
O3 O 0.500 0.500 0.132 1
# * total magnetic moment: 4.0 μB per formula unit
# * E: -0.28099 hartree per atom